Model 1:
VASP calculation (GGA-PBE) on a relaxed Ce2GdIr crystal.

Values from the calculation:
SG	R-3m
volume	124	Å³/cell

The structure in POSCAR format:
```
Ce2GdIr
1.0
-1.274 -3.400 1.089
0.371 -2.989 -2.301
8.540 -4.147 3.643
Gd Ir Ce
1 1 2
Cartesian
0.000 0.000 0.000 Gd
3.818 -5.268 1.215 Ir
5.656 -3.489 2.323 Ce
1.981 -7.047 0.107 Ce
```

=====

Model 2:
VASP calculation (GGA-PBE) on a relaxed Ce2GdIr crystal.

Values from the calculation:
SG	P4/mmm
volume	105	Å³/cell

The structure in POSCAR format:
```
Ce2GdIr
1.0
3.687 0.000 0.000
0.000 3.687 0.000
0.000 0.000 7.701
Gd Ir Ce
1 1 2
Cartesian
1.843 1.843 3.851 Gd
1.843 1.843 0.000 Ir
0.000 0.000 6.238 Ce
0.000 0.000 1.463 Ce
```

=====

Energies, relative to the best one, in kJ/mol of atoms: model 1 18.4; model 2 0.0.

=====

Model 1:
VASP calculation (GGA-PBE) on a relaxed CeGdIr2 crystal.

Values from the calculation:
SG	P4/mmm
volume	85	Å³/cell

The structure in POSCAR format:
```
CeGdIr2
1.0
3.475 0.000 0.000
0.000 3.475 0.000
0.000 0.000 7.001
Gd Ir Ce
1 2 1
Cartesian
1.737 1.737 0.000 Gd
0.000 0.000 5.174 Ir
0.000 0.000 1.826 Ir
1.737 1.737 3.500 Ce
```

=====

Model 2:
VASP calculation (GGA-PBE) on a relaxed CeGdIr2 crystal.

Values from the calculation:
SG	Fm-3m
volume	85	Å³/cell

The structure in POSCAR format:
```
CeGdIr2
1.0
4.926 0.000 0.000
2.463 4.266 0.000
2.463 1.422 4.022
Gd Ir Ce
1 2 1
Cartesian
4.926 2.844 2.011 Gd
2.463 1.422 1.005 Ir
7.389 4.266 3.016 Ir
0.000 0.000 0.000 Ce
```

=====

Energies, relative to the best one, in kJ/mol of atoms: model 1 0.0; model 2 1.5.

=====

Model 1:
VASP calculation (GGA-PBE) on a relaxed LaCe2Gd crystal.

Values from the calculation:
SG	R-3m
volume	123	Å³/cell

The structure in POSCAR format:
```
LaCe2Gd
1.0
-3.154 -0.429 -1.204
-0.564 -2.172 -2.558
-3.091 -9.878 6.806
Gd Ce La
1 2 1
Cartesian
-3.404 -6.239 1.522 Gd
-2.607 -7.525 4.701 Ce
-4.202 -4.954 -1.657 Ce
0.000 0.000 0.000 La
```

=====

Model 2:
VASP calculation (GGA-PBE) on a relaxed LaCe2Gd crystal.

Values from the calculation:
SG	P4/mmm
volume	125	Å³/cell

The structure in POSCAR format:
```
LaCe2Gd
1.0
5.109 0.000 0.000
0.000 4.937 0.000
0.000 0.000 4.937
Gd Ce La
1 2 1
Cartesian
2.555 2.469 2.469 Gd
0.000 0.000 2.469 Ce
0.000 2.469 0.000 Ce
2.555 0.000 0.000 La
```

=====

Model 3:
VASP calculation (GGA-PBE) on a relaxed LaCe2Gd crystal.

Values from the calculation:
SG	Fm-3m
volume	132	Å³/cell

The structure in POSCAR format:
```
LaCe2Gd
1.0
-5.170 -1.228 2.108
-4.019 -2.225 -3.402
-1.600 -5.449 0.651
Gd Ce La
1 2 1
Cartesian
0.000 0.000 0.000 Gd
-2.697 -2.225 -0.161 Ce
-8.092 -6.676 -0.482 Ce
-5.395 -4.451 -0.322 La
```

=====

Energies, relative to the best one, in kJ/mol of atoms: model 1 8.6; model 2 0.0; model 3 13.5.

=====

Model 1:
VASP calculation (GGA-PBE) on a relaxed LiCe2Gd crystal.

Values from the calculation:
SG	P4/mmm
volume	111	Å³/cell

The structure in POSCAR format:
```
LiCe2Gd
1.0
3.279 0.000 0.000
0.000 3.279 0.000
0.000 0.000 10.313
Gd Ce Li
1 2 1
Cartesian
1.640 1.640 5.156 Gd
0.000 0.000 7.821 Ce
0.000 0.000 2.492 Ce
1.640 1.640 0.000 Li
```

=====

Model 2:
VASP calculation (GGA-PBE) on a relaxed LiCe2Gd crystal.

Values from the calculation:
SG	R-3m
volume	115	Å³/cell

The structure in POSCAR format:
```
LiCe2Gd
1.0
3.288 0.000 0.000
1.644 2.848 0.000
1.644 0.949 12.326
Gd Ce Li
1 2 1
Cartesian
3.288 1.898 6.163 Gd
1.644 0.949 9.111 Ce
4.932 2.848 3.215 Ce
0.000 0.000 0.000 Li
```

=====

Energies, relative to the best one, in kJ/mol of atoms: model 1 0.0; model 2 3.9.

=====

Model 1:
VASP calculation (GGA-PBE) on a relaxed LiCeGd2 crystal.

Values from the calculation:
SG	P4/mmm
volume	113	Å³/cell

The structure in POSCAR format:
```
LiCeGd2
1.0
-0.238 2.050 2.910
-3.375 -1.058 0.470
2.809 -6.750 4.986
Gd Ce Li
2 1 1
Cartesian
2.144 -5.152 3.805 Gd
0.665 -1.598 1.181 Gd
-0.401 -2.879 4.183 Ce
-1.806 0.496 1.690 Li
```

=====

Model 2:
VASP calculation (GGA-PBE) on a relaxed LiCeGd2 crystal.

Values from the calculation:
SG	R-3m
volume	143	Å³/cell

The structure in POSCAR format:
```
LiCeGd2
1.0
-2.307 -0.871 3.264
-0.536 -3.890 1.146
7.022 -0.977 7.267
Gd Ce Li
2 1 1
Cartesian
4.349 -1.182 5.323 Gd
-0.172 -4.556 6.354 Gd
2.089 -2.869 5.839 Ce
0.000 0.000 0.000 Li
```

=====

Energies, relative to the best one, in kJ/mol of atoms: model 1 0.0; model 2 73.6.

=====

Model 1:
VASP calculation (GGA-PBE) on a relaxed LiCeGd crystal.

Values from the calculation:
SG	I4mm
volume	83	Å³/cell

The structure in POSCAR format:
```
LiCeGd
1.0
-0.643 -3.220 -1.153
3.298 -0.894 0.659
-3.107 0.151 6.566
Gd Ce Li
1 1 1
Cartesian
0.760 -2.666 1.770 Gd
-1.209 -1.296 4.295 Ce
-0.002 -0.002 0.007 Li
```

=====

Model 2:
VASP calculation (GGA-PBE) on a relaxed LiCeGd crystal.

Values from the calculation:
SG	P3m1
volume	84	Å³/cell

The structure in POSCAR format:
```
LiCeGd
1.0
3.401 0.000 0.000
-1.701 2.946 0.000
0.000 0.000 8.427
Gd Ce Li
1 1 1
Cartesian
1.701 0.982 2.828 Gd
0.000 0.000 8.414 Ce
0.000 1.964 5.612 Li
```

=====

Energies, relative to the best one, in kJ/mol of atoms: model 1 0.5; model 2 0.0.

=====

Model 1:
VASP calculation (GGA-PBE) on a relaxed Ce2GdMg crystal.

Values from the calculation:
SG	R-3m
volume	116	Å³/cell

The structure in POSCAR format:
```
Ce2GdMg
1.0
-1.413 -1.826 2.330
-0.519 -3.198 -0.512
10.606 -4.268 5.395
Mg Gd Ce
1 1 2
Cartesian
0.000 0.000 0.000 Mg
4.337 -4.646 3.606 Gd
7.635 -3.583 4.130 Ce
1.039 -5.709 3.082 Ce
```

=====

Model 2:
VASP calculation (GGA-PBE) on a relaxed Ce2GdMg crystal.

Values from the calculation:
SG	P4/mmm
volume	114	Å³/cell

The structure in POSCAR format:
```
Ce2GdMg
1.0
3.314 0.000 0.000
0.000 3.314 0.000
0.000 0.000 10.372
Mg Gd Ce
1 1 2
Cartesian
1.657 1.657 0.000 Mg
1.657 1.657 5.186 Gd
0.000 0.000 7.875 Ce
0.000 0.000 2.498 Ce
```

=====

Model 3:
VASP calculation (GGA-PBE) on a relaxed Ce2GdMg crystal.

Values from the calculation:
SG	Fm-3m
volume	119	Å³/cell

The structure in POSCAR format:
```
Ce2GdMg
1.0
-2.129 0.259 5.090
-1.477 -4.635 2.615
2.941 -1.791 4.318
Mg Gd Ce
1 1 2
Cartesian
-0.332 -3.084 6.011 Mg
0.000 0.000 0.000 Gd
-0.166 -1.542 3.005 Ce
-0.498 -4.626 9.016 Ce
```

=====

Energies, relative to the best one, in kJ/mol of atoms: model 1 15.4; model 2 0.0; model 3 6.4.

=====

Model 1:
VASP calculation (GGA-PBE) on a relaxed CeGdMg2 crystal.

Values from the calculation:
SG	P4/mmm
volume	112	Å³/cell

The structure in POSCAR format:
```
CeGdMg2
1.0
-3.521 -1.270 0.453
1.744 -5.111 -0.767
0.872 -0.506 5.361
Mg Gd Ce
2 1 1
Cartesian
0.436 -0.253 2.680 Mg
0.872 -2.555 -0.383 Mg
-1.760 -0.635 0.226 Gd
-0.452 -3.444 2.523 Ce
```

=====

Model 2:
VASP calculation (GGA-PBE) on a relaxed CeGdMg2 crystal.

Values from the calculation:
SG	R-3m
volume	108	Å³/cell

The structure in POSCAR format:
```
CeGdMg2
1.0
3.287 0.000 0.000
1.644 2.847 0.000
1.644 0.949 11.550
Mg Gd Ce
2 1 1
Cartesian
1.644 0.949 2.864 Mg
4.931 2.847 8.686 Mg
0.000 0.000 0.000 Gd
3.287 1.898 5.775 Ce
```

=====

Model 3:
VASP calculation (GGA-PBE) on a relaxed CeGdMg2 crystal.

Values from the calculation:
SG	Fm-3m
volume	112	Å³/cell

The structure in POSCAR format:
```
CeGdMg2
1.0
5.417 0.000 0.000
2.708 4.691 0.000
2.708 1.564 4.423
Mg Gd Ce
2 1 1
Cartesian
2.708 1.564 1.106 Mg
8.125 4.691 3.317 Mg
5.417 3.127 2.211 Gd
0.000 0.000 0.000 Ce
```

=====

Energies, relative to the best one, in kJ/mol of atoms: model 1 0.0; model 2 6.8; model 3 0.7.

=====

Model 1:
VASP calculation (GGA-PBE) on a relaxed CeGd2Mn crystal.

Values from the calculation:
SG	P4/mmm
volume	106	Å³/cell

The structure in POSCAR format:
```
CeGd2Mn
1.0
3.438 0.000 0.000
0.000 3.438 0.000
0.000 0.000 8.999
Mn Gd Ce
1 2 1
Cartesian
1.719 1.719 0.000 Mn
0.000 0.000 7.174 Gd
0.000 0.000 1.825 Gd
1.719 1.719 4.500 Ce
```

=====

Model 2:
VASP calculation (GGA-PBE) on a relaxed CeGd2Mn crystal.

Values from the calculation:
SG	R-3m
volume	106	Å³/cell

The structure in POSCAR format:
```
CeGd2Mn
1.0
-2.540 -2.013 -0.698
0.565 -2.976 -1.347
0.082 -6.109 9.450
Mn Gd Ce
1 2 1
Cartesian
0.000 0.000 0.000 Mn
-0.729 -6.855 6.681 Gd
-1.164 -4.242 0.725 Gd
-0.947 -5.549 3.703 Ce
```

=====

Energies, relative to the best one, in kJ/mol of atoms: model 1 0.0; model 2 19.3.

=====

Model 1:
VASP calculation (GGA-PBE) on a relaxed Ce2NdGd crystal.

Values from the calculation:
SG	Fm-3m
volume	131	Å³/cell

The structure in POSCAR format:
```
Ce2NdGd
1.0
5.702 0.000 0.000
2.851 4.938 0.000
2.851 1.646 4.655
Gd Nd Ce
1 1 2
Cartesian
0.000 0.000 0.000 Gd
5.702 3.292 2.328 Nd
2.851 1.646 1.164 Ce
8.553 4.938 3.492 Ce
```

=====

Model 2:
VASP calculation (GGA-PBE) on a relaxed Ce2NdGd crystal.

Values from the calculation:
SG	P4/mmm
volume	125	Å³/cell

The structure in POSCAR format:
```
Ce2NdGd
1.0
5.143 0.000 0.000
0.000 4.934 0.000
0.000 0.000 4.934
Gd Nd Ce
1 1 2
Cartesian
2.571 0.000 0.000 Gd
2.571 2.467 2.467 Nd
0.000 0.000 2.467 Ce
0.000 2.467 0.000 Ce
```

=====

Energies, relative to the best one, in kJ/mol of atoms: model 1 13.5; model 2 0.0.

=====

Model 1:
VASP calculation (GGA-PBE) on a relaxed CeNdGd2 crystal.

Values from the calculation:
SG	R-3m
volume	130	Å³/cell

The structure in POSCAR format:
```
CeNdGd2
1.0
-1.981 2.303 -1.716
-3.438 -0.525 -0.284
-3.631 6.854 9.842
Gd Nd Ce
2 1 1
Cartesian
-3.130 5.132 6.952 Gd
-5.921 3.500 0.890 Gd
0.000 0.000 0.000 Nd
-4.525 4.316 3.921 Ce
```

=====

Model 2:
VASP calculation (GGA-PBE) on a relaxed CeNdGd2 crystal.

Values from the calculation:
SG	Fm-3m
volume	132	Å³/cell

The structure in POSCAR format:
```
CeNdGd2
1.0
5.719 0.000 0.000
2.859 4.953 0.000
2.859 1.651 4.669
Gd Nd Ce
2 1 1
Cartesian
2.859 1.651 1.167 Gd
8.578 4.953 3.502 Gd
5.719 3.302 2.335 Nd
0.000 0.000 0.000 Ce
```

=====

Energies, relative to the best one, in kJ/mol of atoms: model 1 0.0; model 2 1.5.

=====

Model 1:
VASP calculation (GGA-PBE) on a relaxed CeNdGd2 crystal.

Values from the calculation:
SG	P4/mmm
volume	128	Å³/cell

The structure in POSCAR format:
```
CeNdGd2
1.0
3.561 0.000 0.000
0.000 3.561 0.000
0.000 0.000 10.128
Gd Nd Ce
2 1 1
Cartesian
0.000 0.000 7.722 Gd
0.000 0.000 2.406 Gd
1.781 1.781 5.064 Nd
1.781 1.781 0.000 Ce
```

=====

Model 2:
VASP calculation (GGA-PBE) on a relaxed CeNdGd2 crystal.

Values from the calculation:
SG	P4/mmm
volume	130	Å³/cell

The structure in POSCAR format:
```
CeNdGd2
1.0
5.064 0.000 0.000
0.000 5.066 0.000
0.000 0.000 5.066
Gd Nd Ce
2 1 1
Cartesian
0.000 0.000 2.533 Gd
0.000 2.533 0.000 Gd
2.532 0.000 0.000 Nd
2.532 2.533 2.533 Ce
```

=====

Energies, relative to the best one, in kJ/mol of atoms: model 1 0.0; model 2 1.9.